## K2CuH2F6 (PBE)

Data for a geometry-optimized K2CuH2F6 structure.

Cell: 6.275 6.275 6.275 Å, 49.62 49.62 49.62°
Positions (direct):
K1 0.223 0.223 0.223
K2 0.777 0.777 0.777
Cu1 0.000 0.000 0.000
H1 0.406 0.406 0.406
H2 0.594 0.594 0.594
F1 0.256 0.256 0.710
F2 0.256 0.710 0.256
F3 0.290 0.744 0.744
F4 0.710 0.256 0.256
F5 0.744 0.290 0.744
F6 0.744 0.744 0.290

* crystal system: trigonal
* spin magnetization: 1.00 μB/cell
* electronic total energy: -44.9 eV for the cell shown
* space group: No. 166


## KCu2P2H3O8F2 (PBE)

Data for a geometry-optimized KCu2P2H3O8F2 structure.

Cell: 5.634 5.634 7.989 Å, 113.36 113.36 69.99°
Positions (direct):
K1 0.000 0.000 0.000
Cu1 0.000 0.500 0.500
Cu2 0.500 0.000 0.500
P1 0.436 0.436 0.239
P2 0.564 0.564 0.761
H1 0.000 0.000 0.500
H2 0.200 0.200 0.705
H3 0.800 0.800 0.295
O1 0.150 0.150 0.565
O2 0.264 0.664 0.728
O3 0.314 0.314 0.315
O4 0.336 0.736 0.272
O5 0.664 0.264 0.728
O6 0.686 0.686 0.685
O7 0.736 0.336 0.272
O8 0.850 0.850 0.435
F1 0.319 0.319 0.007
F2 0.681 0.681 0.993

* crystal system: monoclinic
* spin magnetization: 2.03 μB/cell
* electronic total energy: -103.3 eV for the cell shown
* space group: No. 12


## LaCuH2F8 (PBE)

Data for a geometry-optimized LaCuH2F8 structure.

Cell: 3.970 5.048 8.248 Å, 98.08 95.60 111.88°
Positions (direct):
La1 0.000 0.000 0.000
Cu1 0.000 0.000 0.500
H1 0.455 0.458 0.734
H2 0.545 0.542 0.266
F1 0.115 0.206 0.713
F2 0.253 0.799 0.562
F3 0.308 0.373 0.257
F4 0.365 0.730 0.015
F5 0.635 0.270 0.985
F6 0.692 0.627 0.743
F7 0.747 0.201 0.438
F8 0.885 0.794 0.287

* crystal system: triclinic
* spin magnetization: 0.00 μB/cell
* electronic total energy: -58.2 eV for the cell shown
* space group: No. 2